Entry 1:
Here is a PBEsol-optimized structure of IBrCl2 from Alexandria. Energies are from meta-GGA SCAN.

Output
Crystal system: tetragonal
Formation energy from raw total energies in eV per atom: 0.41
E in eV per cell: -141.0

abc: 6.996 6.996 9.302
angles: 112.09 112.09 90.00
Fractional coordinates of all 8 atoms:
I 0.000 0.000 0.000
I 0.250 0.750 0.500
Br 0.500 0.500 0.000
Br 0.750 0.250 0.500
Cl 0.625 0.875 0.750
Cl 0.125 0.875 0.750
Cl 0.125 0.875 0.250
Cl 0.125 0.375 0.250

=====

Entry 2:
Here is a PBEsol-optimized structure of IBrCl from Alexandria. Energies are from meta-GGA SCAN.

Output
Crystal system: triclinic
Formation energy from raw total energies in eV per atom: -0.13
E in eV per cell: -129.2

abc: 4.362 7.079 7.828
angles: 76.77 91.57 73.88
Fractional coordinates of all 6 atoms:
I 0.122 0.012 0.734
I 0.985 0.318 0.189
Br 0.049 0.641 0.966
Br 0.917 0.926 0.454
Cl 0.369 0.084 0.016
Cl 0.661 0.511 0.369

=====

Entry 3:
Here is a PBEsol-optimized structure of Se2IBrCl from Alexandria. Energies are from meta-GGA SCAN.

Output
Crystal system: tetragonal
Formation energy from raw total energies in eV per atom: 0.76
E in eV per cell: -100.5

abc: 5.371 5.371 5.439
angles: 90.00 90.00 90.00
Fractional coordinates of all 5 atoms:
I 0.000 0.000 0.000
Se 0.000 0.500 0.000
Se 0.500 0.000 0.000
Br 0.000 0.000 0.500
Cl 0.500 0.500 0.500

=====

Entry 4:
Here is a PBEsol-optimized structure of InBrCl2 from Alexandria. Energies are from meta-GGA SCAN.

Output
Crystal system: orthorhombic
Formation energy from raw total energies in eV per atom: -0.28
E in eV per cell: -69.9

abc: 3.938 4.103 5.970
angles: 90.00 90.00 90.00
Fractional coordinates of all 4 atoms:
Cl 0.000 0.000 0.000
Cl 0.500 0.000 0.500
Br 0.000 0.500 0.500
In 0.500 0.500 0.000

=====

Entry 5:
Here is a PBEsol-optimized structure of InBrCl2 from Alexandria. Energies are from meta-GGA SCAN.

Output
Crystal system: cubic
Formation energy from raw total energies in eV per atom: -0.18
E in eV per cell: -69.5

abc: 4.965 4.965 4.965
angles: 60.00 60.00 60.00
Fractional coordinates of all 4 atoms:
Cl 0.750 0.750 0.750
Cl 0.250 0.250 0.250
Br 0.000 0.000 0.000
In 0.500 0.500 0.500

=====

Entry 6:
Here is a PBEsol-optimized structure of InBrCl2 from Alexandria. Energies are from meta-GGA SCAN.

Output
Crystal system: cubic
Formation energy from raw total energies in eV per atom: -0.29
E in eV per cell: -69.9

abc: 4.906 4.906 4.906
angles: 60.00 60.00 60.00
Fractional coordinates of all 4 atoms:
Cl 0.000 0.000 0.000
Cl 0.250 0.250 0.250
Br 0.500 0.500 0.500
In 0.750 0.750 0.750

=====

Entry 7:
Here is a PBEsol-optimized structure of InBrCl2 from Alexandria. Energies are from meta-GGA SCAN.

Output
Crystal system: tetragonal
Formation energy from raw total energies in eV per atom: -0.38
E in eV per cell: -70.3

abc: 3.337 3.337 8.708
angles: 90.00 90.00 90.00
Fractional coordinates of all 4 atoms:
Cl 0.000 0.000 0.821
Cl 0.000 0.000 0.179
Br 0.500 0.500 0.500
In 0.500 0.500 0.000

=====

Entry 8:
Here is a PBEsol-optimized structure of InBrCl2 from Alexandria. Energies are from meta-GGA SCAN.

Output
Crystal system: tetragonal
Formation energy from raw total energies in eV per atom: -0.27
E in eV per cell: -69.9

abc: 3.433 3.433 7.806
angles: 90.00 90.00 90.00
Fractional coordinates of all 4 atoms:
Cl 0.000 0.000 0.000
Cl 0.500 0.500 0.299
Br 0.500 0.500 0.709
In 0.000 0.000 0.493